1.
# Pm2Dy3HoSe6 PBE-GGA optimized geometry
data_Pm2Dy3HoSe6
_symmetry_space_group_name_H-M 'C 1 2/m 1'
_symmetry_Int_Tables_number 12
_cell_length_a 17.9299
_cell_length_b 4.0924
_cell_length_c 8.2762
_cell_angle_alpha 90.00
_cell_angle_beta 103.56
_cell_angle_gamma 90.00
loop_
_symmetry_equiv_pos_as_xyz
'x,y,z'
'-x,-y,-z'
'-x,y,-z'
'x,-y,z'
'x+1/2,y+1/2,z'
'-x+1/2,-y+1/2,-z'
'-x+1/2,y+1/2,-z'
'x+1/2,-y+1/2,z'
loop_
_atom_site_label
_atom_site_type_symbol
_atom_site_fract_x
_atom_site_fract_y
_atom_site_fract_z
Pm1 Pm 0.1685 0.0000 0.3363
Dy1 Dy 0.0000 0.5000 0.5000
Dy2 Dy 0.1700 0.0000 0.8333
Ho1 Ho 0.0000 0.5000 0.0000
Se1 Se 0.0032 0.0000 0.7533
Se2 Se 0.1632 0.5000 0.5896
Se3 Se 0.1645 0.5000 0.0748
# - ΔE_f (raw) (eV per atom) = -1.773
# - spin magnetization (μB/f.u.) = 0.0
# - density of states at the Fermi level (states/eV per cell) = 11.20
# - total DFT energy (no corrections) (eV/f.u.) = -70.07

***

2.
# Tb5Nd3Dy4 PBE-GGA optimized geometry
data_Tb5Nd3Dy4
_symmetry_space_group_name_H-M 'P -1'
_symmetry_Int_Tables_number 2
_cell_length_a 6.2070
_cell_length_b 7.1657
_cell_length_c 8.7766
_cell_angle_alpha 90.03
_cell_angle_beta 90.13
_cell_angle_gamma 90.16
loop_
_symmetry_equiv_pos_as_xyz
'x,y,z'
'-x,-y,-z'
loop_
_atom_site_label
_atom_site_type_symbol
_atom_site_fract_x
_atom_site_fract_y
_atom_site_fract_z
Tb1 Tb 0.0000 0.0000 0.0000
Tb2 Tb 0.3346 0.4997 0.3332
Tb3 Tb 0.4989 0.7513 0.9998
Nd1 Nd 0.0000 0.5000 0.0000
Nd2 Nd 0.1663 0.2493 0.6659
Dy1 Dy 0.1681 0.7513 0.6664
Dy2 Dy 0.3336 0.9999 0.3329
# - energy of formation from the pure elements (eV/atom) = 0.015
# - spin magnetization (μB/f.u.) = 0.0
# - density of states at the Fermi level (states/eV per cell) = 15.41
# - total DFT energy (no corrections) (eV/f.u.) = -55.68

***

3.
# ZrFe2Sn PBE-GGA optimized geometry
data_ZrFe2Sn
_symmetry_space_group_name_H-M 'P 4/m m m'
_symmetry_Int_Tables_number 123
_symmetry_space_group_name_Hall '-P 4 2'
_cell_length_a 4.3448
_cell_length_b 4.3448
_cell_length_c 3.2465
_cell_angle_alpha 90.00
_cell_angle_beta 90.00
_cell_angle_gamma 90.00
loop_
_atom_site_label
_atom_site_type_symbol
_atom_site_fract_x
_atom_site_fract_y
_atom_site_fract_z
Zr1 Zr 0.0000 0.0000 0.0000
Fe1 Fe 0.0000 0.5000 0.5000
Sn1 Sn 0.5000 0.5000 0.0000
# - energy of formation from the pure elements (eV/atom) = -0.126
# - spin magnetization (μB/f.u.) = 0.0
# - density of states at the Fermi level (states/eV per cell) = 1.45
# - total DFT energy (no corrections) (eV/f.u.) = -29.98

***

4.
# Al8TcNi2 PBE-GGA optimized geometry
data_Al8TcNi2
_symmetry_space_group_name_H-M 'I m m m'
_symmetry_Int_Tables_number 71
_symmetry_space_group_name_Hall '-I 2 2'
_cell_length_a 3.9533
_cell_length_b 6.8409
_cell_length_c 11.7537
_cell_angle_alpha 90.00
_cell_angle_beta 90.00
_cell_angle_gamma 90.00
loop_
_atom_site_label
_atom_site_type_symbol
_atom_site_fract_x
_atom_site_fract_y
_atom_site_fract_z
Al1 Al 0.0000 0.0000 0.1493
Al2 Al 0.0000 0.2203 0.3386
Al3 Al 0.0000 0.3035 0.0000
Tc1 Tc 0.0000 0.5000 0.5000
Ni1 Ni 0.0000 0.5000 0.1878
# - energy of formation from the pure elements (eV/atom) = -0.377
# - spin magnetization (μB/f.u.) = 0.0
# - density of states at the Fermi level (states/eV per cell) = 9.13
# - total DFT energy (no corrections) (eV/f.u.) = -56.02

***

5.
# Sm4Tl5Pb PBE-GGA optimized geometry
data_Sm4Tl5Pb
_symmetry_space_group_name_H-M 'C 1 2/m 1'
_symmetry_Int_Tables_number 12
_cell_length_a 17.8254
_cell_length_b 4.9938
_cell_length_c 6.7711
_cell_angle_alpha 90.00
_cell_angle_beta 107.13
_cell_angle_gamma 90.00
loop_
_symmetry_equiv_pos_as_xyz
'x,y,z'
'-x,-y,-z'
'-x,y,-z'
'x,-y,z'
'x+1/2,y+1/2,z'
'-x+1/2,-y+1/2,-z'
'-x+1/2,y+1/2,-z'
'x+1/2,-y+1/2,z'
loop_
_atom_site_label
_atom_site_type_symbol
_atom_site_fract_x
_atom_site_fract_y
_atom_site_fract_z
Sm1 Sm 0.0847 0.0000 0.3271
Sm2 Sm 0.1991 0.5000 0.1190
Tl1 Tl 0.0000 0.5000 0.5000
Tl2 Tl 0.1086 0.0000 0.8300
Tl3 Tl 0.2033 0.5000 0.6073
Pb1 Pb 0.0000 0.5000 0.0000
# - energy of formation from the pure elements (eV/atom) = -0.350
# - spin magnetization (μB/f.u.) = 0.0
# - density of states at the Fermi level (states/eV per cell) = 13.54
# - total DFT energy (no corrections) (eV/f.u.) = -37.91

***

6.
# ZrTiRuRh PBE-GGA optimized geometry
data_ZrTiRuRh
_symmetry_space_group_name_H-M 'F -4 3 m'
_symmetry_Int_Tables_number 216
_symmetry_space_group_name_Hall 'F -4 2 3'
_cell_length_a 6.3985
_cell_length_b 6.3985
_cell_length_c 6.3985
_cell_angle_alpha 90.00
_cell_angle_beta 90.00
_cell_angle_gamma 90.00
loop_
_atom_site_label
_atom_site_type_symbol
_atom_site_fract_x
_atom_site_fract_y
_atom_site_fract_z
Zr1 Zr 0.0000 0.0000 0.0000
Ti1 Ti 0.0000 0.0000 0.5000
Ru1 Ru 0.2500 0.2500 0.2500
Rh1 Rh 0.2500 0.2500 0.7500
# - energy of formation from the pure elements (eV/atom) = -0.668
# - spin magnetization (μB/f.u.) = 0.0
# - density of states at the Fermi level (states/eV per cell) = 14.41
# - total DFT energy (no corrections) (eV/f.u.) = -35.74

***

7.
# Ta2SnGe PBE-GGA optimized geometry
data_Ta2SnGe
_symmetry_space_group_name_H-M 'R 3 m'
_symmetry_Int_Tables_number 160
_symmetry_space_group_name_Hall 'R 3 -2"'
_cell_length_a 3.7246
_cell_length_b 3.7246
_cell_length_c 19.9575
_cell_angle_alpha 90.00
_cell_angle_beta 90.00
_cell_angle_gamma 120.00
loop_
_atom_site_label
_atom_site_type_symbol
_atom_site_fract_x
_atom_site_fract_y
_atom_site_fract_z
Ta1 Ta 0.0000 0.0000 0.0000
Ta2 Ta 0.0000 0.0000 0.1918
Sn1 Sn 0.0000 0.0000 0.4282
Ge1 Ge 0.0000 0.0000 0.5966
# - energy of formation from the pure elements (eV/atom) = 0.157
# - spin magnetization (μB/f.u.) = 0.0
# - density of states at the Fermi level (states/eV per cell) = 3.76
# - total DFT energy (no corrections) (eV/f.u.) = -31.70

***

8.
# Ba2MgMnH6 PBE-GGA optimized geometry
data_Ba2MgMnH6
_symmetry_space_group_name_H-M 'F m -3 m'
_symmetry_Int_Tables_number 225
_symmetry_space_group_name_Hall '-F 4 2 3'
_cell_length_a 8.0299
_cell_length_b 8.0299
_cell_length_c 8.0299
_cell_angle_alpha 90.00
_cell_angle_beta 90.00
_cell_angle_gamma 90.00
loop_
_atom_site_label
_atom_site_type_symbol
_atom_site_fract_x
_atom_site_fract_y
_atom_site_fract_z
Ba1 Ba 0.2500 0.2500 0.2500
Mg1 Mg 0.0000 0.0000 0.0000
Mn1 Mn 0.0000 0.0000 0.5000
H1 H 0.0000 0.0000 0.2805
# - spin magnetization (μB/f.u.) = 0.7
# - density of states at the Fermi level (states/eV per cell) = 31.63
# - total DFT energy (no corrections) (eV/f.u.) = -36.82